Material: ScTl2I
Method: DFT, PBE
State: relaxed

abc: 9.7475 9.7475 5.7758
angles: 90.00 90.00 90.00
Last column: nearest neighbours and their distance in Å.
Space group I-42d (No. 122)
Asymmetric unit:
Sc  0.0000  0.0000  0.0000 x4  2 I 2.89, 4 Tl 3.04
Tl  0.1704  0.2500  0.1250 x8  2 Sc 3.04, 2 Tl 3.28
I  0.0000  0.0000  0.5000 x4  2 Sc 2.89

Results
- relative energy among the computed polymorphs (meV/atom) = 0
- spin magnetization (μB per cell) = 0.00
- uncorrected formation energy (eV per atom) = 0.01
- V (Å³/f.u.) = 137.19



Material: RbRhIO2
Method: DFT, PBE
State: relaxed

abc: 4.3363 4.3363 5.5014
angles: 90.00 90.00 90.00
Last column: nearest neighbours and their distance in Å.
Space group P4/mmm (No. 123)
Asymmetric unit:
Rb  0.0000  0.0000  0.0000 x1  4 I 3.07
Rh  0.5000  0.5000  0.5000 x1  4 O 2.17
I  0.5000  0.5000  0.0000 x1  2 Rh 2.75, 4 Rb 3.07
O  0.0000  0.5000  0.5000 x2  2 Rh 2.17

Results
- relative energy among the computed polymorphs (meV/atom) = 0
- spin magnetization (μB per cell) = 2.10
- uncorrected formation energy (eV per atom) = -0.24
- V (Å³/f.u.) = 103.45



Material: CaZn2Hg2
Method: DFT, PBE
State: relaxed

abc: 7.8384 7.8384 3.6683
angles: 90.00 90.00 90.00
Last column: nearest neighbours and their distance in Å.
Space group P4/mbm (No. 127)
Asymmetric unit:
Ca  0.0000  0.0000  0.0000 x2  4 Zn 3.15, 8 Hg 3.40
Zn  0.1152  0.3848  0.0000 x4  1 Zn 2.55
Hg  0.1852  0.6852  0.5000 x4  6 Zn 2.87-3.03

Results
- relative energy among the computed polymorphs (meV/atom) = 81
- spin magnetization (μB per cell) = 0.00
- calculated formation energy (eV per atom) = -0.14
- V (Å³/f.u.) = 112.69



Material: Ba2HgRuN
Method: DFT, PBE
State: relaxed

abc: 5.8888 5.8888 3.8470
angles: 90.00 90.00 90.00
Last column: nearest neighbours and their distance in Å.
Space group P4/mmm (No. 123)
Asymmetric unit:
Ba  0.0000  0.5000  0.0000 x2  2 N 2.94
Hg  0.0000  0.0000  0.5000 x1  8 Ba 3.52, 2 Hg 3.85
Ru  0.5000  0.5000  0.5000 x1  2 N 1.92
N  0.5000  0.5000  0.0000 x1  2 Ru 1.92

Results
- spin magnetization (μB per cell) = 0.00
- uncorrected formation energy (eV per atom) = -0.38
- V (Å³/f.u.) = 133.41



Ρ (g/cm³)
7.03 5.57 8.43 7.35